No. 1
The following is a DFT calculation (PBE-GGA) of a relaxed structure of Pr2Rh2Au.

## Properties
- offset from the most stable computed form (meV per atom) = 0.0
- M_tot (μB/f.u.) = 0.00
- calculated formation energy (eV per atom) = -0.677

Unit cell a=3.9325 b=4.0426 c=7.5580 alpha=105.51 beta=90.00 gamma=90.00
Element x y z (fractional)
Rh1 0.0000 0.8097 0.6195
Pr1 0.5000 0.3668 0.7335
Rh2 0.0000 0.1903 0.3805
Au1 0.0000 0.0000 0.0000
Pr2 0.5000 0.6332 0.2665


No. 2
The following is a DFT calculation (PBE-GGA) of a relaxed structure of SrBeHg2.

## Properties
- M_tot (μB/f.u.) = 0.00
- calculated formation energy (eV per atom) = 0.331

Unit cell a=6.1324 b=6.1324 c=3.6037 alpha=75.39 beta=75.39 gamma=116.97
Element x y z (fractional)
Be1 0.0000 0.5000 0.5000
Hg1 0.0000 0.0000 0.0000
Hg2 0.5000 0.5000 0.0000
Sr1 0.5000 0.0000 0.5000


No. 3
The following is a DFT calculation (PBE-GGA) of a relaxed structure of LaPu2Sb3.

## Properties
- formation energy from raw total energies (eV per atom) = -0.8033
- M_tot (μB/f.u.) = 10.05

Unit cell a=4.5025 b=6.3580 c=7.7723 alpha=114.14 beta=106.84 gamma=90.00
Element x y z (fractional)
Pu1 0.1643 0.6643 0.3286
Sb1 0.5000 0.5000 0.0000
Sb2 0.8254 0.8254 0.6509
Sb3 0.1746 0.1746 0.3491
La1 0.5000 0.0000 0.0000
Pu2 0.8357 0.3357 0.6714


No. 4
The following is a DFT calculation (PBE-GGA) of a relaxed structure of InGa2Hg4.

## Properties
- offset from the most stable computed form (meV per atom) = 0.0
- M_tot (μB/f.u.) = 0.00
- calculated formation energy (eV per atom) = 0.054

Unit cell a=6.0164 b=10.9690 c=10.3565 alpha=136.34 beta=111.96 gamma=96.82
Element x y z (fractional)
In1 0.3899 0.6354 0.4814
Hg1 0.2387 0.5362 0.0803
Hg2 0.1129 0.9235 0.2036
In2 0.2021 0.0348 0.9952
Ga1 0.5919 0.3507 0.7559
Hg3 0.4283 0.7394 0.8653
Ga2 0.0896 0.3483 0.6485
Hg4 0.7720 0.0610 0.7212
Hg5 0.4186 0.2003 0.8841
Hg6 0.9424 0.7413 0.3132
Hg7 0.6914 0.4719 0.6036
Ga3 0.8437 0.5725 0.4324
Ga4 0.6343 0.9333 0.3104
Hg8 0.8942 0.2014 0.2050